Compound: RbOs2SeF
Source: Alexandria via LeMat-Bulk
Functional: GGA-PBE
Structure: optimized geometry

Cell lengths 5.0790, 5.0790, 4.5032 Å; angles 90.00, 90.00, 90.00 degrees
Closest atoms and distances in Å follow each position.
Sites, in units of the cell vectors:
Rb  0.0000  0.0000  0.0000  2 F 2.25
Os  0.0000  0.5000  0.0000  2 Rb 2.54
Os  0.5000  0.0000  0.0000  2 Rb 2.54
Se  0.5000  0.5000  0.5000  8 Os 3.39, 4 F 3.59
F  0.0000  0.0000  0.5000  2 Rb 2.25

Values from the calculation:
**E_form (uncorrected)**: 237.7 kJ per mole of atoms
**Space-group type**: P4/mmm, No. 123

=====

Compound: Rb2SiOsF6
Source: Alexandria via LeMat-Bulk
Functional: GGA-PBE
Structure: optimized geometry

Cell lengths 6.1045, 6.1045, 6.1045 Å; angles 60.00, 60.00, 60.00 degrees
Closest atoms and distances in Å follow each position.
Sites, in units of the cell vectors:
Rb  0.2500  0.2500  0.2500  12 F 3.05
Rb  0.7500  0.7500  0.7500  12 F 3.05
Si  0.0000  0.0000  0.0000  6 F 2.15
Os  0.5000  0.5000  0.5000  6 F 2.17
F  0.2488  0.2488  0.7512  1 Si 2.15, 1 Os 2.17
F  0.2488  0.7512  0.2488  1 Si 2.15, 1 Os 2.17
F  0.2488  0.7512  0.7512  1 Si 2.15, 1 Os 2.17
F  0.7512  0.2488  0.2488  1 Si 2.15, 1 Os 2.17
F  0.7512  0.2488  0.7512  1 Si 2.15, 1 Os 2.17
F  0.7512  0.7512  0.2488  1 Si 2.15, 1 Os 2.17

Values from the calculation:
**E_form (uncorrected)**: -170.5 kJ per mole of atoms
**Space-group type**: Fm-3m, No. 225

=====

Compound: Rb2SrOsF6
Source: Alexandria via LeMat-Bulk
Functional: GGA-PBE
Structure: optimized geometry

Cell lengths 6.3809, 6.3809, 6.3809 Å; angles 60.00, 60.00, 60.00 degrees
Closest atoms and distances in Å follow each position.
Sites, in units of the cell vectors:
Rb  0.2500  0.2500  0.2500  12 F 3.19
Rb  0.7500  0.7500  0.7500  12 F 3.19
Sr  0.0000  0.0000  0.0000  6 F 2.37
Os  0.5000  0.5000  0.5000  6 F 2.14
F  0.2626  0.2626  0.7374  1 Os 2.14, 1 Sr 2.37
F  0.2626  0.7374  0.2626  1 Os 2.14, 1 Sr 2.37
F  0.2626  0.7374  0.7374  1 Os 2.14, 1 Sr 2.37
F  0.7374  0.2626  0.2626  1 Os 2.14, 1 Sr 2.37
F  0.7374  0.2626  0.7374  1 Os 2.14, 1 Sr 2.37
F  0.7374  0.7374  0.2626  1 Os 2.14, 1 Sr 2.37

Values from the calculation:
**E_form (uncorrected)**: -228.1 kJ per mole of atoms
**Space-group type**: Fm-3m, No. 225

=====

Compound: RbTlOs2F
Source: Alexandria via LeMat-Bulk
Functional: GGA-PBE
Structure: optimized geometry

Cell lengths 4.4820, 4.4820, 5.2192 Å; angles 90.00, 90.00, 90.00 degrees
Closest atoms and distances in Å follow each position.
Sites, in units of the cell vectors:
Rb  0.0000  0.0000  0.0000  2 F 2.61
Tl  0.5000  0.5000  0.0000  4 Rb 3.17, 8 Os 3.44
Os  0.0000  0.5000  0.5000  2 F 2.24
Os  0.5000  0.0000  0.5000  2 F 2.24
F  0.0000  0.0000  0.5000  4 Os 2.24

Values from the calculation:
**E_form (uncorrected)**: 129.1 kJ per mole of atoms
**Space-group type**: P4/mmm, No. 123

=====

Compound: RbTlOsF6
Source: Alexandria via LeMat-Bulk
Functional: GGA-PBE
Structure: optimized geometry

Cell lengths 6.5573, 6.5573, 5.1911 Å; angles 90.00, 90.00, 120.00 degrees
Closest atoms and distances in Å follow each position.
Sites, in units of the cell vectors:
Rb  0.0000  0.0000  0.0000  6 F 2.90
Tl  0.3333  0.6667  0.5000  6 F 2.75
Os  0.6667  0.3333  0.5000  6 F 1.98
F  0.4144  0.0846  0.7136  1 Os 1.98
F  0.4144  0.3298  0.2864  1 Os 1.98
F  0.6702  0.0846  0.2864  1 Os 1.98
F  0.6702  0.5856  0.7136  1 Os 1.98
F  0.9154  0.3298  0.7136  1 Os 1.98
F  0.9154  0.5856  0.2864  1 Os 1.98

Values from the calculation:
**E_form (uncorrected)**: -192.9 kJ per mole of atoms
**Space-group type**: P312, No. 149

=====

Here are the calculated total DFT energy (no corrections) numbers, same order: -3.293, -4.749, -4.971, -4.195, -4.865 (eV per atom).